Sc4Pt PBEsol relaxed; space group = I4/m; calculated formation energy = -512 meV/atom; volume = 20.88 Å³ per atom; crystal system = tetragonal; total magnetization = 0.00 μB/cell; final energy = -7.189 eV/atom
1.0
-3.926 3.926 1.693
3.926 -3.926 1.693
3.926 3.926 -1.693
Sc Pt
4 1
direct
0.085 0.731 0.816 Sc
0.269 0.085 0.353 Sc
0.731 0.915 0.647 Sc
0.915 0.269 0.184 Sc
0.500 0.500 0.000 Pt

CsReP2 PBEsol relaxed; space group = I4_1/amd; calculated formation energy = -200 meV/atom; volume = 32.36 Å³ per atom; crystal system = tetragonal; total magnetization = 0.00 μB/cell; final energy = -6.664 eV/atom
1.0
-3.542 3.542 5.159
3.542 -3.542 5.159
3.542 3.542 -5.159
Cs Re P
2 2 4
direct
0.375 0.625 0.750 Cs
0.625 0.375 0.250 Cs
0.125 0.875 0.250 Re
0.875 0.125 0.750 Re
0.000 0.000 0.000 P
0.000 0.000 0.500 P
0.000 0.500 0.000 P
0.500 0.000 0.500 P

LaNbWF2 PBEsol relaxed; space group = P4/mmm; volume = 18.09 Å³ per atom; uncorrected formation energy = -0.375 eV per atom; crystal system = tetragonal; total magnetization = 0.03 μB/cell; final energy = -7.141 eV/atom
1.0
4.190 0.000 0.000
0.000 4.190 0.000
0.000 0.000 5.151
La Nb W F
1 1 1 2
direct
0.000 0.000 0.000 La
0.500 0.500 0.000 Nb
0.500 0.500 0.500 W
0.000 0.500 0.500 F
0.500 0.000 0.500 F

TbNb6Sn6 PBEsol relaxed; space group = P6/mmm; calculated formation energy = -370 meV/atom; volume = 20.84 Å³ per atom; crystal system = hexagonal; total magnetization = 0.00 μB/cell; final energy = -7.716 eV/atom
1.0
5.734 0.000 0.000
-2.867 4.966 0.000
0.000 0.000 9.513
Tb Nb Sn
1 6 6
direct
0.000 0.000 0.000 Tb
0.000 0.500 0.250 Nb
0.000 0.500 0.750 Nb
0.500 0.000 0.250 Nb
0.500 0.000 0.750 Nb
0.500 0.500 0.250 Nb
0.500 0.500 0.750 Nb
0.000 0.000 0.328 Sn
0.000 0.000 0.672 Sn
0.333 0.667 0.000 Sn
0.333 0.667 0.500 Sn
0.667 0.333 0.000 Sn
0.667 0.333 0.500 Sn

BaLi3In PBEsol relaxed; space group = Pm-3m; calculated formation energy = -120 meV/atom; volume = 28.79 Å³ per atom; crystal system = cubic; total magnetization = 0.00 μB/cell; final energy = -2.326 eV/atom
1.0
5.241 0.000 0.000
0.000 5.241 0.000
0.000 0.000 5.241
Ba Li In
1 3 1
direct
0.000 0.000 0.000 Ba
0.000 0.500 0.500 Li
0.500 0.000 0.500 Li
0.500 0.500 0.000 Li
0.500 0.500 0.500 In

YFe2 PBEsol relaxed; space group = Fd-3m; calculated formation energy = -64 meV/atom; volume = 14.99 Å³ per atom; crystal system = cubic; total magnetization = 5.69 μB/cell; final energy = -8.314 eV/atom
1.0
0.000 3.556 3.556
3.556 0.000 3.556
3.556 3.556 0.000
Y Fe
2 4
direct
0.125 0.125 0.125 Y
0.875 0.875 0.875 Y
0.000 0.500 0.500 Fe
0.500 0.000 0.500 Fe
0.500 0.500 0.000 Fe
0.500 0.500 0.500 Fe

What did the fifth record say?
BaLi3In PBEsol relaxed; space group = Pm-3m; calculated formation energy = -120 meV/atom; volume = 28.79 Å³ per atom; crystal system = cubic; total magnetization = 0.00 μB/cell; final energy = -2.326 eV/atom
1.0
5.241 0.000 0.000
0.000 5.241 0.000
0.000 0.000 5.241
Ba Li In
1 3 1
direct
0.000 0.000 0.000 Ba
0.000 0.500 0.500 Li
0.500 0.000 0.500 Li
0.500 0.500 0.000 Li
0.500 0.500 0.500 In

What is the formula in the first record? Sc4Pt